V3Cr2O8 after structural relaxation. Source: the Alexandria database, functional GGA+U.

Geometry as CIF:
```
data_V3Cr2O8
_chemical_formula_sum 'V6 Cr4 O16'
_cell_length_a 9.597
_cell_length_b 5.956
_cell_length_c 5.001
_cell_angle_alpha 90.00
_cell_angle_beta 92.15
_cell_angle_gamma 90.00
_symmetry_space_group_name_H-M 'C 1 2/m 1'
_symmetry_Int_Tables_number 12
loop_
_symmetry_equiv_pos_as_xyz
'x,y,z'
'-x,-y,-z'
'-x,y,-z'
'x,-y,z'
'x+1/2,y+1/2,z'
'-x+1/2,-y+1/2,-z'
'-x+1/2,y+1/2,-z'
'x+1/2,-y+1/2,z'
loop_
_atom_site_label
_atom_site_fract_x
_atom_site_fract_y
_atom_site_fract_z
V1 0.000 0.000 0.000
V2 0.000 0.260 0.500
Cr1 0.217 0.500 0.028
O1 0.107 0.000 0.318
O2 0.112 0.500 0.347
O3 0.129 0.230 0.850
```

Calculated values
As for the crystal system: monoclinic. Its total magnetization is 22.00 μB/cell. As for the total energy: -7.86 eV/atom.